No. 1
Entry from Alexandria via LeMat-Bulk: an optimized crystal structure of K2PF6 (PBE).

a b c (Å): 8.3351 8.3351 8.3351
angles (deg): 90.00 90.00 90.00
Last column: nearest neighbours and their distance in Å.
Space group Fm-3m (No. 225)
One atom of each set of equivalent atoms:
K 0.2500 0.2500 0.2500 (multiplicity 8)  12 F 2.96
P 0.0000 0.0000 0.0000 (multiplicity 4)  6 F 1.81
F 0.0000 0.0000 0.2172 (multiplicity 24)  1 P 1.81

Results
- E_form (uncorrected) (meV/atom) = -2491


No. 2
Entry from Alexandria via LeMat-Bulk: an optimized crystal structure of KP2F (PBE).

a b c (Å): 6.8164 6.8164 6.8164
angles (deg): 90.00 90.00 90.00
Last column: nearest neighbours and their distance in Å.
Space group Fm-3m (No. 225)
One atom of each set of equivalent atoms:
K 0.0000 0.0000 0.0000 (multiplicity 4)  8 P 2.95
P 0.2500 0.2500 0.2500 (multiplicity 8)  4 K 2.95, 4 F 2.95
F 0.0000 0.0000 0.5000 (multiplicity 4)  8 P 2.95

Results
- E_form (uncorrected) (meV/atom) = 587
- energy relative to the lowest polymorph listed for this composition (eV per atom) = 1.222


No. 3
Entry from Alexandria via LeMat-Bulk: an optimized crystal structure of KP3F (PBE).

a b c (Å): 4.5950 4.5950 4.5950
angles (deg): 90.00 90.00 90.00
Last column: nearest neighbours and their distance in Å.
Space group Pm-3m (No. 221)
One atom of each set of equivalent atoms:
K 0.0000 0.0000 0.0000 (multiplicity 1)  12 P 3.25
P 0.0000 0.5000 0.5000 (multiplicity 3)  2 F 2.30
F 0.5000 0.5000 0.5000 (multiplicity 1)  6 P 2.30

Results
- E_form (uncorrected) (meV/atom) = 524


No. 4
Entry from Alexandria via LeMat-Bulk: an optimized crystal structure of K2PF5 (PBE).

a b c (Å): 6.0623 6.0623 7.5660
angles (deg): 90.00 90.00 90.00
Last column: nearest neighbours and their distance in Å.
Space group I4mm (No. 107)
One atom of each set of equivalent atoms:
K 0.0000 0.5000 0.0000 (multiplicity 4)  10 F 2.86-3.06
P 0.0000 0.0000 0.2711 (multiplicity 2)  1 F 1.66
F 0.0000 0.0000 0.0516 (multiplicity 2)  1 P 1.66
F 0.2172 0.2172 0.2466 (multiplicity 8)  1 P 1.87

Results
- E_form (uncorrected) (meV/atom) = -2524


No. 5
Entry from Alexandria via LeMat-Bulk: an optimized crystal structure of KP2F (PBE).

a b c (Å): 4.1120 4.1120 26.2286
angles (deg): 90.00 90.00 90.00
Last column: nearest neighbours and their distance in Å.
Space group I4_1/amd (No. 141, origin choice 2)
One atom of each set of equivalent atoms:
K 0.0000 0.2500 0.3750 (multiplicity 4)  4 F 2.91
P 0.0000 0.0000 0.0000 (multiplicity 8)  2 P 2.06
F 0.0000 0.2500 0.8750 (multiplicity 4)  4 K 2.91

Results
- E_form (uncorrected) (meV/atom) = -635
- energy relative to the lowest polymorph listed for this composition (eV per atom) = 0.000


No. 6
Entry from Alexandria via LeMat-Bulk: an optimized crystal structure of KPF4 (PBE).

a b c (Å): 7.9248 4.7527 6.2667
angles (deg): 90.00 90.00 90.00
Last column: nearest neighbours and their distance in Å.
Space group Pmn2_1 (No. 31)
One atom of each set of equivalent atoms:
K 0.0000 0.1564 0.0000 (multiplicity 2)  2 F 2.52-2.61
P 0.0000 0.7936 0.4762 (multiplicity 2)  3 F 1.61-1.69
F 0.0000 0.4594 0.5227 (multiplicity 2)  1 P 1.61
F 0.0000 0.6463 0.1557 (multiplicity 2)  1 P 2.13
F 0.1574 0.8407 0.6543 (multiplicity 4)  1 P 1.69

Results
- E_form (uncorrected) (meV/atom) = -2376